# 1
PuUN2 (PBE-GGA, optimized geometry); total energy = -47.439 eV per cell; volume = 14.6 Å³ per atom
1.0
-1.7398 -2.7280 1.2401
-0.6314 -2.7267 -2.0429
4.0493 -4.1624 1.3656
U N Pu
1 2 1
direct
0.0000 0.0000 0.0000 U
0.7451 0.7451 0.7647 N
0.2549 0.2549 0.2353 N
0.5000 0.5000 0.5000 Pu



# 2
TlCdTeI (PBE-GGA, optimized geometry); total energy = -9.961 eV per cell; volume = 39.8 Å³ per atom
1.0
-0.6296 3.8527 2.5994
-4.2445 0.9937 1.7297
1.7875 -4.3577 6.8925
Te Tl I Cd
1 1 1 1
direct
0.0214 0.9830 0.1480 Te
0.6881 0.6495 0.4362 Tl
0.3547 0.3162 0.6823 I
0.3547 0.3164 0.0306 Cd



# 3
Sc2BiH (PBE-GGA, optimized geometry); volume = 20.6 Å³ per atom; energy relative to the lowest polymorph listed for this composition = 501 meV/atom
1.0
0.0745 -4.4387 2.0363
-2.7942 -3.5687 -1.8196
2.0553 -3.7413 -2.3733
Sc Bi H
2 1 1
direct
0.7500 0.7500 0.7500 Sc
0.2500 0.2500 0.2500 Sc
0.5000 0.5000 0.5000 Bi
0.0000 0.0000 0.0000 H



# 4
Pm2Sm5Tm4 (PBE-GGA, optimized geometry); volume = 33.8 Å³ per atom; energy relative to the lowest polymorph listed for this composition = 20 meV/atom; energy of formation from the pure elements = 1.80 eV per formula unit
1.0
-0.3552 2.6622 2.3221
-8.1010 1.9645 -3.4915
-0.1197 -9.7030 8.3913
Sm Pm Tm
5 2 4
direct
0.5000 0.0000 0.0000 Sm
0.8309 0.0703 0.6618 Sm
0.1691 0.9297 0.3382 Sm
0.8746 0.7161 0.7491 Sm
0.1254 0.2839 0.2509 Sm
0.2664 0.3403 0.5329 Pm
0.7336 0.6597 0.4671 Pm
0.5967 0.5694 0.1934 Tm
0.4033 0.4306 0.8066 Tm
0.0132 0.7002 0.0265 Tm
0.9868 0.2998 0.9735 Tm



# 5
CePmRhPb (PBE-GGA, optimized geometry); volume = 26.0 Å³ per atom; energy of formation from the pure elements = -1.53 eV per formula unit
1.0
-1.7344 -4.9030 0.9013
3.3835 -3.7614 1.5047
-0.1626 -1.8773 4.9304
Pm Ce Pb Rh
1 1 1 1
direct
0.2500 0.2500 0.2500 Pm
0.7500 0.7500 0.7500 Ce
0.5000 0.5000 0.5000 Pb
0.0000 0.0000 0.0000 Rh



# 6
AlFeIr2 (PBE-GGA, optimized geometry); volume = 14.0 Å³ per atom; energy of formation from the pure elements = -0.45 eV per formula unit
1.0
-2.6356 -2.8708 -1.8032
1.4913 -2.7096 -2.9788
0.4234 -4.1743 0.9140
Ir Al Fe
2 1 1
direct
0.2500 0.2500 0.2500 Ir
0.0000 0.0000 0.0000 Ir
0.5000 0.5000 0.5000 Al
0.7500 0.7500 0.7500 Fe



# 7
RbCd3As (PBE-GGA, optimized geometry); volume = 34.9 Å³ per atom; energy relative to the lowest polymorph listed for this composition = 0 meV/atom; energy of formation from the pure elements = 0.60 eV per formula unit
1.0
5.5867 0.0000 0.0000
0.0000 5.5867 0.0000
0.0000 0.0000 5.5867
Cd Rb As
3 1 1
direct
0.5000 0.0000 0.0000 Cd
0.0000 0.5000 0.0000 Cd
0.0000 0.0000 0.5000 Cd
0.5000 0.5000 0.5000 Rb
0.0000 0.0000 0.0000 As



# 8
K2MnSi (PBE-GGA, optimized geometry); volume = 28.7 Å³ per atom; energy relative to the lowest polymorph listed for this composition = 537 meV/atom
1.0
-5.0856 -3.2933 -0.2405
5.5868 -3.7165 1.6161
0.7267 -1.3148 3.4452
K Mn Si
2 1 1
direct
0.0000 0.5000 0.5000 K
0.0000 0.0000 0.0000 K
0.5000 0.5000 0.0000 Mn
0.5000 0.0000 0.5000 Si



# 9
ReHgO3 (PBE-GGA, optimized geometry); total energy = -31.820 eV per cell; volume = 12.2 Å³ per atom
1.0
3.9333 0.0000 0.0000
0.0000 3.9333 0.0000
0.0000 0.0000 3.9333
O Re Hg
3 1 1
direct
0.0000 0.5000 0.0000 O
0.5000 0.0000 0.0000 O
0.0000 0.0000 0.5000 O
0.0000 0.0000 0.0000 Re
0.5000 0.5000 0.5000 Hg



# 10
Te2RhBr (PBE-GGA, optimized geometry); total energy = -13.205 eV per cell; volume = 23.1 Å³ per atom
1.0
-1.1315 3.6047 -4.0311
-3.6618 -4.0950 0.5890
-1.7443 1.8708 2.1626
Te Rh Br
2 1 1
direct
0.5000 0.5000 0.0000 Te
0.0000 0.0000 0.0000 Te
0.0000 0.5000 0.5000 Rh
0.5000 0.0000 0.5000 Br



# 11
TbPr3Dy2 (PBE-GGA, optimized geometry); volume = 33.7 Å³ per atom; energy relative to the lowest polymorph listed for this composition = 0 meV/atom; energy of formation from the pure elements = 0.09 eV per formula unit
1.0
-0.2141 3.9522 6.0463
-6.0726 0.5866 1.5872
-1.3647 -2.9730 12.5742
Dy Tb Pr
4 2 6
direct
0.3330 0.2499 0.0835 Dy
0.6663 0.2499 0.4167 Dy
0.3337 0.7501 0.5833 Dy
0.6670 0.7501 0.9165 Dy
0.9999 0.2501 0.7501 Tb
0.0001 0.7499 0.2499 Tb
0.8328 0.2502 0.0834 Pr
0.1672 0.7498 0.9166 Pr
0.5001 0.7499 0.2500 Pr
0.8336 0.7502 0.5833 Pr
0.1664 0.2498 0.4167 Pr
0.4999 0.2501 0.7500 Pr



# 12
KNiAg2 (PBE-GGA, optimized geometry); volume = 20.3 Å³ per atom; energy relative to the lowest polymorph listed for this composition = 206 meV/atom; energy of formation from the pure elements = 2.09 eV per formula unit
1.0
9.9412 -0.0362 -0.0212
9.4711 3.0209 -0.0212
9.4711 1.4562 2.6469
Ag Ni K
2 1 1
direct
0.4840 0.4840 0.4840 Ag
0.0160 0.0160 0.0160 Ag
0.7500 0.7500 0.7500 Ni
0.2500 0.2500 0.2500 K



Q: volume of number 1 (PuUN2)?
A: 14.6 Å³ per atom



What did the eighth record say?
K2MnSi (PBE-GGA, optimized geometry); volume = 28.7 Å³ per atom; energy relative to the lowest polymorph listed for this composition = 537 meV/atom
1.0
-5.0856 -3.2933 -0.2405
5.5868 -3.7165 1.6161
0.7267 -1.3148 3.4452
K Mn Si
2 1 1
direct
0.0000 0.5000 0.5000 K
0.0000 0.0000 0.0000 K
0.5000 0.5000 0.0000 Mn
0.5000 0.0000 0.5000 Si



Q: Which of these has the highest volume?
A: TlCdTeI



Q: Among the records above, which one has the highest volume?
A: TlCdTeI